(1)
Here is La2AsCl2 after structural relaxation from Alexandria. Energies are from PBE-GGA.

## Properties
E_tot in eV/cell: -51.98
Crystal system: tetragonal

Cell and atoms, written as CIF:
```
data_La2AsCl2
_space_group_name_H-M_alt 'P 4/m b m'
_space_group_IT_number 127
_space_group_name_Hall '-P 4 2ab'
_cell_length_a 7.944
_cell_length_b 7.944
_cell_length_c 4.217
_cell_angle_alpha 90.00
_cell_angle_beta 90.00
_cell_angle_gamma 90.00
loop_
_atom_site_label
_atom_site_fract_x
_atom_site_fract_y
_atom_site_fract_z
La1 0.170 0.330 0.000
As1 0.000 0.000 0.000
Cl1 0.134 0.634 0.500
```



(2)
Here is LaAsCl2 after structural relaxation from Alexandria. Energies are from PBE-GGA.

## Properties
E_tot in eV/cell: -73.33
Crystal system: orthorhombic

Cell and atoms, written as CIF:
```
data_LaAsCl2
_space_group_name_H-M_alt 'F m m m'
_space_group_IT_number 69
_space_group_name_Hall '-F 2 2'
_cell_length_a 6.376
_cell_length_b 6.673
_cell_length_c 9.802
_cell_angle_alpha 90.00
_cell_angle_beta 90.00
_cell_angle_gamma 90.00
loop_
_atom_site_label
_atom_site_fract_x
_atom_site_fract_y
_atom_site_fract_z
La1 0.000 0.000 0.000
As1 0.000 0.000 0.500
Cl1 0.250 0.000 0.250
```



(3)
Here is La2AsCl after structural relaxation from Alexandria. Energies are from PBE-GGA.

## Properties
E_tot in eV/cell: -67.37
Crystal system: trigonal

Cell and atoms, written as CIF:
```
data_La2AsCl
_space_group_name_H-M_alt 'R 3 m'
_space_group_IT_number 160
_space_group_name_Hall 'R 3 -2"'
_cell_length_a 4.2159
_cell_length_b 4.2159
_cell_length_c 21.6885
_cell_angle_alpha 90.00
_cell_angle_beta 90.00
_cell_angle_gamma 120.00
loop_
_atom_site_label
_atom_site_fract_x
_atom_site_fract_y
_atom_site_fract_z
La1 0.0000 0.0000 0.0000
La2 0.0000 0.0000 0.1715
As1 0.0000 0.0000 0.4184
Cl1 0.0000 0.0000 0.5877
```



(4)
Here is La4AsCl after structural relaxation from Alexandria. Energies are from PBE-GGA.

## Properties
E_tot in eV/cell: -107.64
Crystal system: cubic

Cell and atoms, written as CIF:
```
data_La4AsCl
_space_group_name_H-M_alt 'F -4 3 m'
_space_group_IT_number 216
_space_group_name_Hall 'F -4 2 3'
_cell_length_a 9.037
_cell_length_b 9.037
_cell_length_c 9.037
_cell_angle_alpha 90.00
_cell_angle_beta 90.00
_cell_angle_gamma 90.00
loop_
_atom_site_label
_atom_site_fract_x
_atom_site_fract_y
_atom_site_fract_z
La1 0.123 0.123 0.123
As1 0.250 0.250 0.750
Cl1 0.000 0.000 0.500
```



(5)
Here is La2As2Cl after structural relaxation from Alexandria. Energies are from PBE-GGA.

## Properties
E_tot in eV/cell: -53.93
Crystal system: tetragonal

Cell and atoms, written as CIF:
```
data_La2As2Cl
_space_group_name_H-M_alt 'I 4/m m m'
_space_group_IT_number 139
_space_group_name_Hall '-I 4 2'
_cell_length_a 5.624
_cell_length_b 5.624
_cell_length_c 9.395
_cell_angle_alpha 90.00
_cell_angle_beta 90.00
_cell_angle_gamma 90.00
loop_
_atom_site_label
_atom_site_fract_x
_atom_site_fract_y
_atom_site_fract_z
La1 0.000 0.500 0.250
As1 0.000 0.000 0.131
Cl1 0.000 0.000 0.500
```



(6)
Here is LaAsCl2 after structural relaxation from Alexandria. Energies are from PBE-GGA.

## Properties
E_tot in eV/cell: -17.32
Crystal system: tetragonal

Cell and atoms, written as CIF:
```
data_LaAsCl2
_space_group_name_H-M_alt 'P 4/m m m'
_space_group_IT_number 123
_space_group_name_Hall '-P 4 2'
_cell_length_a 3.626
_cell_length_b 3.626
_cell_length_c 7.644
_cell_angle_alpha 90.00
_cell_angle_beta 90.00
_cell_angle_gamma 90.00
loop_
_atom_site_label
_atom_site_fract_x
_atom_site_fract_y
_atom_site_fract_z
La1 0.000 0.000 0.000
As1 0.000 0.000 0.500
Cl1 0.500 0.500 0.197
```



(7)
Here is La8As6Cl after structural relaxation from Alexandria. Energies are from PBE-GGA.

## Properties
E_tot in eV/cell: -88.47
Crystal system: trigonal

Cell and atoms, written as CIF:
```
data_La8As6Cl
_space_group_name_H-M_alt 'P -3'
_space_group_IT_number 147
_space_group_name_Hall '-P 3'
_cell_length_a 11.4496
_cell_length_b 11.4496
_cell_length_c 4.4933
_cell_angle_alpha 90.00
_cell_angle_beta 90.00
_cell_angle_gamma 120.00
loop_
_atom_site_label
_atom_site_fract_x
_atom_site_fract_y
_atom_site_fract_z
La1 0.0370 0.6733 0.2442
La2 0.3333 0.6667 0.7532
As1 0.1399 0.4773 0.2546
Cl1 0.0000 0.0000 0.0000
```



(8)
Here is La4As3Cl after structural relaxation from Alexandria. Energies are from PBE-GGA.

## Properties
E_tot in eV/cell: -97.47
Crystal system: tetragonal

Cell and atoms, written as CIF:
```
data_La4As3Cl
_space_group_name_H-M_alt 'I 4/m m m'
_space_group_IT_number 139
_space_group_name_Hall '-I 4 2'
_cell_length_a 6.121
_cell_length_b 6.121
_cell_length_c 12.270
_cell_angle_alpha 90.00
_cell_angle_beta 90.00
_cell_angle_gamma 90.00
loop_
_atom_site_label
_atom_site_fract_x
_atom_site_fract_y
_atom_site_fract_z
La1 0.000 0.000 0.243
La2 0.000 0.500 0.000
As1 0.000 0.000 0.000
As2 0.000 0.500 0.250
Cl1 0.000 0.000 0.500
```



Q: What is the E_tot in the eighth record?
A: -97.47 eV/cell